6
Lattice="2.629 -4.645 0.000 2.629 4.645 0.000 0.000 0.000 4.220" Properties=species:S:1:pos:R:3 comment="NdGa2Cu2Pt (PBE, optimized geometry)" dft_energy_ev_per_cell=-27.6 spacegroup="Cmmm (65)" pbc="T T T"
Pt 2.629 0.000 2.110
Nd 0.000 0.000 0.000
Ga 1.314 -2.322 2.110
Cu 2.629 -1.595 0.000
Ga 1.314 2.322 2.110
Cu 2.629 1.595 0.000


10
Lattice="-3.919 2.946 2.897 3.919 -2.946 2.897 3.919 2.946 -2.897" Properties=species:S:1:pos:R:3 comment="NbBiN2O (PBE, optimized geometry)" dft_energy_ev_per_cell=-78.2 spacegroup="Ima2 (46)" pbc="T T T"
N 0.467 1.477 2.763
Nb 3.919 0.000 1.128
N 0.467 1.468 -0.134
O 5.878 0.534 1.327
Bi 1.959 0.268 4.074
N 3.452 1.468 -0.134
O 1.959 -0.534 1.327
N 3.452 1.477 2.763
Nb 0.000 0.000 1.128
Bi 1.959 2.678 1.177


4
Lattice="0.000 3.173 3.173 3.173 0.000 3.173 3.173 3.173 0.000" Properties=species:S:1:pos:R:3 comment="BeInGaPt (PBE, optimized geometry)" spacegroup="F-43m (216)" relative_energy_mev_per_atom=0.0 pbc="T T T"
Be 4.759 4.759 4.759
Pt 3.173 3.173 3.173
Ga 1.586 1.586 1.586
In 0.000 0.000 0.000


29
Lattice="9.132 0.000 0.000 -4.566 7.908 0.000 0.000 0.000 11.104" Properties=species:S:1:pos:R:3 comment="Na16Cd13 (PBE, optimized geometry)" dft_energy_ev_per_cell=-34.7 spacegroup="P-62m (189)" pbc="T T T"
Cd 3.189 5.524 3.053
Na -3.570 6.184 5.552
Na -2.865 4.963 1.860
Na 0.000 5.272 3.721
Na 3.369 5.835 0.000
Cd 2.753 0.000 3.053
Na 4.566 2.636 3.721
Cd 0.000 0.000 8.747
Na 0.995 1.724 5.552
Cd 2.531 4.383 5.552
Cd 0.000 5.272 0.000
Na -2.865 4.963 9.244
Na 2.394 0.000 0.000
Cd -1.377 2.384 8.051
Na 4.566 2.636 7.383
Cd -2.035 3.525 5.552
Cd 3.189 5.524 8.051
Na 0.000 5.272 7.383
Na 5.731 0.000 9.244
Na -1.197 2.073 0.000
Cd 4.566 2.636 0.000
Cd 2.753 0.000 8.051
Cd 0.000 0.000 2.357
Na 1.700 2.945 9.244
Na 7.141 0.000 5.552
Cd 4.070 0.000 5.552
Cd -1.377 2.384 3.053
Na 1.700 2.945 1.860
Na 5.731 0.000 1.860


3
Lattice="-2.951 -3.363 3.683 2.826 -3.059 4.030 -0.414 1.487 5.586" Properties=species:S:1:pos:R:3 comment="BaYHo (PBE, optimized geometry)" spacegroup="F-43m (216)" relative_energy_mev_per_atom=0.0 pbc="T T T"
Y -0.135 -1.234 3.325
Ba -0.404 -3.701 9.974
Ho 0.000 0.000 0.000


8
Lattice="-1.216 -3.324 -0.086 3.377 0.628 0.858 -3.988 1.073 14.912" Properties=species:S:1:pos:R:3 comment="TmLu3Sn2C2 (PBE, optimized geometry)" dft_energy_ev_per_cell=-49.4 spacegroup="P3m1 (156)" pbc="T T T"
Lu -1.808 0.293 14.203
Sn 0.846 -0.420 4.282
Lu -0.481 -0.064 9.243
C -3.670 -0.935 15.128
Sn -2.991 0.804 11.182
Tm -0.335 0.090 1.253
C -1.679 -1.470 7.686
Lu -1.662 0.447 6.213


3
Lattice="-0.692 -4.272 1.566 -3.959 -2.167 -0.899 -0.069 -3.544 -2.936" Properties=species:S:1:pos:R:3 comment="PaAlGe (PBE, optimized geometry)" dft_energy_ev_per_cell=-17.5 spacegroup="F-43m (216)" pbc="T T T"
Ge 0.000 0.000 0.000
Pa -3.540 -7.487 -1.702
Al -1.180 -2.496 -0.567


4
Lattice="-2.404 3.234 -1.648 -3.263 -1.060 2.680 2.248 3.839 4.256" Properties=species:S:1:pos:R:3 comment="HoErSb2 (PBE, optimized geometry)" dft_energy_ev_per_cell=-21.8 spacegroup="P4/mmm (123)" pbc="T T T"
Sb 0.000 0.000 0.000
Sb -1.709 3.007 2.644
Ho -2.834 1.087 0.516
Er 1.124 1.919 2.128


8
Lattice="4.433 0.000 0.000 0.000 4.433 0.000 0.000 0.000 9.184" Properties=species:S:1:pos:R:3 comment="PrGdAsO (PBE, optimized geometry)" spacegroup="P4/nmm (129)" relative_energy_mev_per_atom=69.0 pbc="T T T"
Gd 1.108 3.325 4.592
Pr 1.108 1.108 1.006
O 3.325 1.108 0.000
Pr 3.325 3.325 8.179
As 3.325 3.325 2.764
As 1.108 1.108 6.421
O 1.108 3.325 0.000
Gd 3.325 1.108 4.592


16
Lattice="-1.288 6.123 1.621 -3.212 -0.694 0.071 1.078 -3.540 14.223" Properties=species:S:1:pos:R:3 comment="MgAgTeO (PBE, optimized geometry)" spacegroup="Pnma (62)" relative_energy_mev_per_atom=241.5 pbc="T T T"
Te -3.288 3.804 2.597
Ag -2.221 -0.222 11.532
Te -2.303 -0.374 6.273
O -1.408 3.258 6.213
Te -0.134 -1.915 13.318
Mg -0.484 -0.764 8.727
Ag -1.201 2.111 4.383
Mg -0.771 1.128 14.238
Mg -2.938 2.653 7.189
Mg -2.650 0.761 1.678
O -2.013 -1.369 9.703
Te -1.118 2.263 9.642
Ag -0.553 -0.964 3.628
Ag -2.869 2.853 12.287
O -0.977 0.895 2.595
O -2.444 0.994 13.320


24
Lattice="-3.318 6.263 -4.174 2.220 -1.312 -3.733 -13.510 -10.137 -4.471" Properties=species:S:1:pos:R:3 comment="SmTlCdSe3 (PBE, optimized geometry)" spacegroup="Pnma (62)" relative_energy_mev_per_atom=60.2 pbc="T T T"
Cd -4.941 -0.759 -6.808
Se -3.584 1.545 -6.811
Se -7.377 -5.170 -3.949
Sm -5.338 -4.186 -5.839
Se -11.024 -6.731 -5.569
Se -10.787 -10.291 -6.934
Cd -13.855 -3.193 -8.496
Se -7.834 -3.699 -7.495
Sm -9.270 -1.000 -6.540
Tl -7.913 -7.730 -6.125
Se -7.231 -0.016 -8.431
Se -14.278 -5.972 -7.771
Se -3.086 -2.457 -5.108
Cd -0.753 -1.993 -3.883
Se -11.522 -2.729 -7.272
Sm -13.306 -8.404 -6.338
Tl -3.593 0.495 -3.689
Se -3.821 5.105 -5.445
Se -6.774 -1.487 -4.884
Tl -6.694 2.544 -6.254
Cd -9.666 -4.426 -5.571
Tl -11.015 -5.681 -8.690
Se -0.329 0.786 -4.608
Sm -1.302 3.218 -6.042


7
Lattice="5.728 -1.562 0.000 5.728 1.562 0.000 -2.240 0.000 5.301" Properties=species:S:1:pos:R:3 comment="Tm2MoWC3 (PBE, optimized geometry)" dft_energy_ev_per_cell=-61.8 spacegroup="Cm (8)" pbc="T T T"
C 6.828 0.000 4.082
C -2.224 0.000 5.289
Tm 8.828 0.000 2.805
C 2.369 0.000 1.222
W 5.017 0.000 5.216
Mo 4.228 0.000 0.089
Tm 0.365 0.000 2.500